1.
# La4Pm6Mg (PBE, relaxed)
data_La4Pm6Mg
_cell_length_a 9.7584
_cell_length_b 9.7584
_cell_length_c 9.7584
_cell_angle_alpha 58.63
_cell_angle_beta 139.49
_cell_angle_gamma 139.49
_space_group_name_H-M_alt 'P 1'
_space_group_IT_number 1
loop_
_space_group_symop_operation_xyz
'x,y,z'
loop_
_atom_site_label
_atom_site_fract_x
_atom_site_fract_y
_atom_site_fract_z
_atom_site_occupancy
La1 0.0000 0.6414 0.9970 1
La2 0.3556 0.3586 0.3586 1
La3 0.0000 0.9970 0.6414 1
La4 0.6444 0.0030 0.0030 1
Pm1 0.0000 0.7764 0.4536 1
Pm2 0.0000 0.4536 0.7764 1
Pm3 0.3229 0.5464 0.5464 1
Pm4 0.5000 0.5000 0.0000 1
Pm5 0.6771 0.2236 0.2236 1
Pm6 0.5000 0.0000 0.5000 1
Mg1 0.0000 0.0000 0.0000 1
# electronic total energy	-47.2	eV per cell
# symmetry	I-42m



2.
# SrY2Rh (PBE, relaxed)
data_SrY2Rh
_cell_length_a 6.3317
_cell_length_b 6.3317
_cell_length_c 3.4586
_cell_angle_alpha 76.64
_cell_angle_beta 76.64
_cell_angle_gamma 118.15
_space_group_name_H-M_alt 'P 1'
_space_group_IT_number 1
loop_
_space_group_symop_operation_xyz
'x,y,z'
loop_
_atom_site_label
_atom_site_fract_x
_atom_site_fract_y
_atom_site_fract_z
_atom_site_occupancy
Rh1 0.5000 0.0000 0.5000 1
Sr1 0.0000 0.5000 0.5000 1
Y1 0.0000 0.0000 0.0000 1
Y2 0.5000 0.5000 0.0000 1
# electronic total energy	-21.1	eV per cell
# symmetry	C2/m
# relative energy among the computed polymorphs	550.5	meV/atom



3.
# K3GaSn (PBE, relaxed)
data_K3GaSn
_cell_length_a 6.7390
_cell_length_b 6.7390
_cell_length_c 6.7390
_cell_angle_alpha 90.00
_cell_angle_beta 90.00
_cell_angle_gamma 90.00
_space_group_name_H-M_alt 'P 1'
_space_group_IT_number 1
loop_
_space_group_symop_operation_xyz
'x,y,z'
loop_
_atom_site_label
_atom_site_fract_x
_atom_site_fract_y
_atom_site_fract_z
_atom_site_occupancy
K1 0.0000 0.5000 0.0000 1
K2 0.0000 0.0000 0.5000 1
K3 0.5000 0.0000 0.0000 1
Sn1 0.0000 0.0000 0.0000 1
Ga1 0.5000 0.5000 0.5000 1
# electronic total energy	-8.5	eV per cell
# symmetry	Pm-3m
# relative energy among the computed polymorphs	395.6	meV/atom



4.
# TmGe4Pt12 (PBE, relaxed)
data_TmGe4Pt12
_cell_length_a 7.4117
_cell_length_b 7.4117
_cell_length_c 7.4117
_cell_angle_alpha 109.47
_cell_angle_beta 109.47
_cell_angle_gamma 109.47
_space_group_name_H-M_alt 'P 1'
_space_group_IT_number 1
loop_
_space_group_symop_operation_xyz
'x,y,z'
loop_
_atom_site_label
_atom_site_fract_x
_atom_site_fract_y
_atom_site_fract_z
_atom_site_occupancy
Tm1 0.0000 0.0000 0.0000 1
Ge1 0.0000 0.5000 0.0000 1
Ge2 0.5000 0.0000 0.0000 1
Ge3 0.5000 0.5000 0.5000 1
Ge4 0.0000 0.0000 0.5000 1
Pt1 0.8439 0.3433 0.1872 1
Pt2 0.3433 0.4994 0.1561 1
Pt3 0.8128 0.1561 0.6567 1
Pt4 0.3433 0.1872 0.8439 1
Pt5 0.1872 0.8439 0.3433 1
Pt6 0.6567 0.5006 0.8439 1
Pt7 0.4994 0.1561 0.3433 1
Pt8 0.5006 0.8439 0.6567 1
Pt9 0.6567 0.8128 0.1561 1
Pt10 0.8439 0.6567 0.5006 1
Pt11 0.1561 0.3433 0.4994 1
Pt12 0.1561 0.6567 0.8128 1
# electronic total energy	-99.0	eV per cell
# symmetry	Im-3



5.
# Mn2TlFe (PBE, relaxed)
data_Mn2TlFe
_cell_length_a 3.1070
_cell_length_b 3.1070
_cell_length_c 6.3769
_cell_angle_alpha 90.00
_cell_angle_beta 90.00
_cell_angle_gamma 90.00
_space_group_name_H-M_alt 'P 1'
_space_group_IT_number 1
loop_
_space_group_symop_operation_xyz
'x,y,z'
loop_
_atom_site_label
_atom_site_fract_x
_atom_site_fract_y
_atom_site_fract_z
_atom_site_occupancy
Fe1 0.5000 0.5000 0.7500 1
Mn1 0.0000 0.0000 0.9563 1
Mn2 0.0000 0.0000 0.5437 1
Tl1 0.5000 0.5000 0.2500 1
# electronic total energy	-27.6	eV per cell
# symmetry	P4/mmm
# relative energy among the computed polymorphs	0.0	meV/atom



6.
# NiAs2Br (PBE, relaxed)
data_NiAs2Br
_cell_length_a 6.0955
_cell_length_b 6.0955
_cell_length_c 6.8407
_cell_angle_alpha 63.54
_cell_angle_beta 63.54
_cell_angle_gamma 90.00
_space_group_name_H-M_alt 'P 1'
_space_group_IT_number 1
loop_
_space_group_symop_operation_xyz
'x,y,z'
loop_
_atom_site_label
_atom_site_fract_x
_atom_site_fract_y
_atom_site_fract_z
_atom_site_occupancy
Ni1 0.5000 0.5000 0.0000 1
Ni2 0.2500 0.7500 0.5000 1
As1 0.5283 0.1250 0.2500 1
As2 0.2217 0.6250 0.2500 1
As3 0.3750 0.4717 0.7500 1
As4 0.8750 0.7783 0.7500 1
Br1 0.0000 0.0000 0.0000 1
Br2 0.7500 0.2500 0.5000 1
# electronic total energy	-32.2	eV per cell
# symmetry	I-42d
# relative energy among the computed polymorphs	338.2	meV/atom
# energy relative to the elements, uncorrected	0.160	eV/atom



7.
# AsIrO2 (PBE, relaxed)
data_AsIrO2
_cell_length_a 6.4639
_cell_length_b 6.4639
_cell_length_c 6.4639
_cell_angle_alpha 28.32
_cell_angle_beta 28.32
_cell_angle_gamma 28.32
_space_group_name_H-M_alt 'P 1'
_space_group_IT_number 1
loop_
_space_group_symop_operation_xyz
'x,y,z'
loop_
_atom_site_label
_atom_site_fract_x
_atom_site_fract_y
_atom_site_fract_z
_atom_site_occupancy
As1 0.0000 0.0000 0.0000 1
Ir1 0.5000 0.5000 0.5000 1
O1 0.8850 0.8850 0.8850 1
O2 0.1150 0.1150 0.1150 1
# electronic total energy	-24.7	eV per cell
# symmetry	R-3m
# energy relative to the elements, uncorrected	-0.325	eV/atom



8.
# Be2VAg2 (PBE, relaxed)
data_Be2VAg2
_cell_length_a 3.7705
_cell_length_b 3.7705
_cell_length_c 5.7320
_cell_angle_alpha 70.80
_cell_angle_beta 70.80
_cell_angle_gamma 90.00
_space_group_name_H-M_alt 'P 1'
_space_group_IT_number 1
loop_
_space_group_symop_operation_xyz
'x,y,z'
loop_
_atom_site_label
_atom_site_fract_x
_atom_site_fract_y
_atom_site_fract_z
_atom_site_occupancy
Be1 0.4003 0.4003 0.1995 1
Be2 0.5997 0.5997 0.8005 1
Ag1 0.7500 0.2500 0.5000 1
Ag2 0.2500 0.7500 0.5000 1
V1 0.0000 0.0000 0.0000 1
# electronic total energy	-20.1	eV per cell
# symmetry	I4/mmm
# relative energy among the computed polymorphs	131.3	meV/atom



9.
# Tm3PaFe8 (PBE, relaxed)
data_Tm3PaFe8
_cell_length_a 5.0928
_cell_length_b 5.0928
_cell_length_c 8.7865
_cell_angle_alpha 73.15
_cell_angle_beta 73.15
_cell_angle_gamma 60.00
_space_group_name_H-M_alt 'P 1'
_space_group_IT_number 1
loop_
_space_group_symop_operation_xyz
'x,y,z'
loop_
_atom_site_label
_atom_site_fract_x
_atom_site_fract_y
_atom_site_fract_z
_atom_site_occupancy
Tm1 0.3747 0.3747 0.8758 1
Tm2 0.0009 0.0009 0.9974 1
Tm3 0.4993 0.4993 0.5020 1
Pa1 0.8746 0.8746 0.3761 1
Fe1 0.9365 0.4375 0.1886 1
Fe2 0.4387 0.9375 0.6863 1
Fe3 0.4375 0.4375 0.1886 1
Fe4 0.9375 0.9375 0.6863 1
Fe5 0.1876 0.1876 0.4373 1
Fe6 0.6878 0.6878 0.9367 1
Fe7 0.4375 0.9365 0.1886 1
Fe8 0.9375 0.4387 0.6863 1
# electronic total energy	-92.4	eV per cell
# symmetry	R3m



10.
# La2Pr3Au4 (PBE, relaxed)
data_La2Pr3Au4
_cell_length_a 7.5553
_cell_length_b 8.9939
_cell_length_c 8.0859
_cell_angle_alpha 90.00
_cell_angle_beta 90.00
_cell_angle_gamma 110.38
_space_group_name_H-M_alt 'P 1'
_space_group_IT_number 1
loop_
_space_group_symop_operation_xyz
'x,y,z'
loop_
_atom_site_label
_atom_site_fract_x
_atom_site_fract_y
_atom_site_fract_z
_atom_site_occupancy
La1 0.5497 0.1847 0.3196 1
La2 0.9503 0.8153 0.8196 1
La3 0.4503 0.8153 0.6804 1
La4 0.0497 0.1847 0.1804 1
Pr1 0.0000 0.5000 0.5000 1
Pr2 0.5000 0.5000 0.0000 1
Pr3 0.7374 0.2421 0.8318 1
Pr4 0.7626 0.7579 0.3318 1
Pr5 0.2626 0.7579 0.1682 1
Pr6 0.2374 0.2421 0.6682 1
Au1 0.8366 0.0720 0.5311 1
Au2 0.6634 0.9280 0.0311 1
Au3 0.1634 0.9280 0.4689 1
Au4 0.3366 0.0720 0.9689 1
Au5 0.8683 0.4808 0.1393 1
Au6 0.6317 0.5192 0.6393 1
Au7 0.1317 0.5192 0.8607 1
Au8 0.3683 0.4808 0.3607 1
# electronic total energy	-86.9	eV per cell
# symmetry	P2_1/c



11.
# FeGe3 (PBE, relaxed)
data_FeGe3
_cell_length_a 5.6496
_cell_length_b 5.6496
_cell_length_c 4.8076
_cell_angle_alpha 90.00
_cell_angle_beta 90.00
_cell_angle_gamma 120.00
_space_group_name_H-M_alt 'P 1'
_space_group_IT_number 1
loop_
_space_group_symop_operation_xyz
'x,y,z'
loop_
_atom_site_label
_atom_site_fract_x
_atom_site_fract_y
_atom_site_fract_z
_atom_site_occupancy
Fe1 0.3333 0.6667 0.7500 1
Fe2 0.6667 0.3333 0.2500 1
Ge1 0.1748 0.3497 0.2500 1
Ge2 0.6503 0.8252 0.2500 1
Ge3 0.1748 0.8252 0.2500 1
Ge4 0.8252 0.6503 0.7500 1
Ge5 0.3497 0.1748 0.7500 1
Ge6 0.8252 0.1748 0.7500 1
# electronic total energy	-41.3	eV per cell
# symmetry	P6_3/mmc



12.
# Rb2YSn2 (PBE, relaxed)
data_Rb2YSn2
_cell_length_a 6.1246
_cell_length_b 6.1246
_cell_length_c 6.9118
_cell_angle_alpha 63.70
_cell_angle_beta 63.70
_cell_angle_gamma 90.00
_space_group_name_H-M_alt 'P 1'
_space_group_IT_number 1
loop_
_space_group_symop_operation_xyz
'x,y,z'
loop_
_atom_site_label
_atom_site_fract_x
_atom_site_fract_y
_atom_site_fract_z
_atom_site_occupancy
Y1 0.0000 0.0000 0.0000 1
Sn1 0.7500 0.2500 0.5000 1
Sn2 0.2500 0.7500 0.5000 1
Rb1 0.3622 0.3622 0.2757 1
Rb2 0.6378 0.6378 0.7243 1
# electronic total energy	-13.8	eV per cell
# symmetry	I4/mmm
# relative energy among the computed polymorphs	557.0	meV/atom



Q: Which formula does entry 4 have?
A: TmGe4Pt12



Q: Look up the electronic total energy of the fifth one.
A: -27.6 eV per cell